First-principles (PBE) data for crystalline Tb3Er4Co4 at its relaxed geometry, as listed in Alexandria via LeMat-Bulk.

The energy of formation is -109 meV per atom.

It has space group Immm (No. 71), with a = 3.617 Å, b = 8.706 Å, c = 15.444 Å, α = 90.00°, β = 90.00° and γ = 90.00°. The inequivalent atoms are Tb at (0.000, 0.000, 0.000), Tb at (0.000, 0.500, 0.104), Er at (0.000, 0.314, 0.334), Co at (0.000, 0.000, 0.250) and Co at (0.000, 0.214, 0.500).

---

First-principles (PBE) data for crystalline LuHfThMg at its relaxed geometry, as listed in Alexandria via LeMat-Bulk.

The energy of formation is 139 meV per atom.

It has space group F-43m (No. 216), with a = 7.489 Å, b = 7.489 Å, c = 7.489 Å, α = 90.00°, β = 90.00° and γ = 90.00°. The inequivalent atoms are Lu at (0.000, 0.000, 0.000), Hf at (0.250, 0.250, 0.750), Th at (0.000, 0.000, 0.500) and Mg at (0.250, 0.250, 0.250).

---

First-principles (PBE) data for crystalline CdIn2Ag at its relaxed geometry, as listed in Alexandria via LeMat-Bulk.

The energy of formation is 42 meV per atom.

It has space group I-4m2 (No. 119), with a = 4.466 Å, b = 4.466 Å, c = 9.177 Å, α = 90.00°, β = 90.00° and γ = 90.00°. The inequivalent atoms are Cd at (0.000, 0.000, 0.000), In at (0.000, 0.000, 0.500), In at (0.000, 0.500, 0.750) and Ag at (0.000, 0.500, 0.250).

---

First-principles (PBE) data for crystalline UCoSi2Tc2 at its relaxed geometry, as listed in Alexandria via LeMat-Bulk.

The uncorrected formation energy is 6.38 kJ per mole of atoms.

It has space group P4/mmm (No. 123), with a = 4.401 Å, b = 4.401 Å, c = 5.079 Å, α = 90.00°, β = 90.00° and γ = 90.00°. The inequivalent atoms are U at (0.000, 0.000, 0.000), Co at (0.000, 0.000, 0.500), Si at (0.000, 0.500, 0.500) and Tc at (0.500, 0.500, 0.234).

---

First-principles (PBE) data for crystalline Ba2LiW at its relaxed geometry, as listed in Alexandria via LeMat-Bulk.

The energy above the lowest structure with this stoichiometry is 39 meV/atom. The energy of formation is 1027 meV per atom.

It has space group Fm-3m (No. 225), with a = 8.163 Å, b = 8.163 Å, c = 8.163 Å, α = 90.00°, β = 90.00° and γ = 90.00°. The inequivalent atoms are Ba at (0.250, 0.250, 0.250), Li at (0.000, 0.000, 0.000) and W at (0.000, 0.000, 0.500).

---

First-principles (PBE) data for crystalline SbAsIr4 at its relaxed geometry, as listed in Alexandria via LeMat-Bulk.

The uncorrected formation energy is 52.71 kJ per mole of atoms.

It has space group F-43m (No. 216), with a = 7.504 Å, b = 7.504 Å, c = 7.504 Å, α = 90.00°, β = 90.00° and γ = 90.00°. The inequivalent atoms are Sb at (0.000, 0.000, 0.000), As at (0.250, 0.250, 0.750) and Ir at (0.125, 0.125, 0.375).

---

First-principles (PBE) data for crystalline Ba4NaIn at its relaxed geometry, as listed in Alexandria via LeMat-Bulk.

The energy above the lowest structure with this stoichiometry is 113 meV/atom. The energy of formation is -46 meV per atom.

It has space group R-3m (No. 166, hexagonal axes), with a = 6.2065 Å, b = 6.2065 Å, c = 30.5930 Å, α = 90.00°, β = 90.00° and γ = 120.00°. The inequivalent atoms are Ba at (0.0000, 0.0000, 0.1131), Ba at (0.0000, 0.0000, 0.3625), Na at (0.0000, 0.0000, 0.5000) and In at (0.0000, 0.0000, 0.0000).

---

Looking at E_tot for the records above, in order, we have -5.62; -5.73; -2.27; -8.26; -3.65; -6.82; -2.00 eV/atom.